## OsAuBr2 (meta-GGA SCAN)

Data for OsAuBr2 at its PBEsol-relaxed geometry.

Cell: 3.077 3.077 8.197 Å, 90.00 90.00 90.00°
Site moments in Bohr magnetons follow the coordinates.
Fractional positions:
Os 0.000 0.000 0.496  0.36
Au 0.500 0.500 0.714  0.07
Br 0.000 0.000 0.970  0.07
Br 0.500 0.500 0.320  0.07

**Electronic total energy**: -176.4 eV for the cell shown
**DOS at the Fermi energy**: 0.71 states/eV/atom
**Excess energy over the best structure of this formula in the dataset**: 93 meV/atom
**E_form (uncorrected)**: 886 meV/atom